VASP calculation (GGA-PBE) on an optimized crystal structure of CaHgAu10.

a = 4.6884 Å, b = 5.5938 Å, c = 9.7038 Å
α = 90.00°, β = 90.00°, γ = 90.00°
Last column: nearest neighbours and their distance in Å.
Space group Pmmm (No. 47)
Unique sites:
Ca (0.0000, 0.0000, 0.0000) [1 per cell]  18 Au 3.27-3.65
Hg (0.0000, 0.5000, 0.5000) [1 per cell]  6 Au 3.16-3.21
Au (0.0000, 0.0000, 0.3370) [2 per cell]  7 Au 2.83-3.16
Au (0.0000, 0.5000, 0.1748) [2 per cell]  6 Au 2.82-2.89, 1 Hg 3.16
Au (0.5000, 0.0000, 0.5000) [1 per cell]  8 Au 2.83-2.85
Au (0.5000, 0.2440, 0.2426) [4 per cell]  8 Au 2.73-2.86
Au (0.5000, 0.5000, 0.0000) [1 per cell]  8 Au 2.76-2.89

Summary:
raw total energy	-3.110	eV/atom
E_form	-0.19	eV/atom
N(E_F)	2.038	states/eV/cell
calculated volume	21.21	Å³ per atom

---

VASP calculation (GGA-PBE) on an optimized crystal structure of LiGdPuGe.

a = 7.1777 Å, b = 7.1777 Å, c = 7.1777 Å
α = 90.00°, β = 90.00°, γ = 90.00°
Last column: nearest neighbours and their distance in Å.
Space group F-43m (No. 216)
Unique sites:
Li (0.0000, 0.0000, 0.0000) [4 per cell]  4 Gd 3.11, 4 Pu 3.11
Gd (0.2500, 0.2500, 0.7500) [4 per cell]  4 Ge 3.11, 4 Li 3.11
Pu (0.2500, 0.2500, 0.2500) [4 per cell]  4 Ge 3.11, 4 Li 3.11
Ge (0.0000, 0.0000, 0.5000) [4 per cell]  4 Gd 3.11, 4 Pu 3.11

Summary:
raw total energy	-8.983	eV/atom
E_form	-0.25	eV/atom
N(E_F)	34.185	states/eV/cell
calculated volume	23.11	Å³ per atom

---

VASP calculation (GGA-PBE) on an optimized crystal structure of NbVSiPd2.

a = 4.8873 Å, b = 4.8873 Å, c = 4.4788 Å
α = 90.00°, β = 90.00°, γ = 90.00°
Last column: nearest neighbours and their distance in Å.
Space group P4/mmm (No. 123)
Unique sites:
Nb (0.0000, 0.0000, 0.0000) [1 per cell]  2 V 2.24, 4 Pd 2.44
V (0.0000, 0.0000, 0.5000) [1 per cell]  2 Nb 2.24
Si (0.5000, 0.5000, 0.5000) [1 per cell]  8 Pd 3.31, 4 V 3.46
Pd (0.0000, 0.5000, 0.0000) [2 per cell]  2 Nb 2.44

Summary:
formation energy (no corrections)	1.276	eV per atom
raw total energy	-5.724	eV/atom
N(E_F)	4.347	states/eV/cell
calculated volume	21.40	Å³ per atom

---

VASP calculation (GGA-PBE) on an optimized crystal structure of Mg2BePb.

a = 3.2771 Å, b = 3.2771 Å, c = 7.9821 Å
α = 90.00°, β = 90.00°, γ = 90.00°
Last column: nearest neighbours and their distance in Å.
Space group P4mm (No. 99)
Unique sites:
Mg (0.0000, 0.0000, 0.0000) [1 per cell]  4 Be 2.73
Mg (0.5000, 0.5000, 0.2699) [1 per cell]  8 Mg 3.16-3.28, 4 Pb 3.43
Be (0.5000, 0.5000, 0.8191) [1 per cell]  4 Mg 2.73, 4 Pb 2.97
Pb (0.0000, 0.0000, 0.5868) [1 per cell]  4 Be 2.97, 4 Pb 3.28, 1 Mg 3.30

Summary:
energy above the most stable polymorph in this dataset	174	meV per atom
raw total energy	-2.356	eV/atom
E_form	0.30	eV/atom
N(E_F)	1.236	states/eV/cell
calculated volume	21.43	Å³ per atom

---

VASP calculation (GGA-PBE) on an optimized crystal structure of MnCuP2.

a = 7.2470 Å, b = 2.9392 Å, c = 4.7341 Å
α = 90.00°, β = 98.30°, γ = 90.00°
Last column: nearest neighbours and their distance in Å.
Space group C2/m (No. 12)
Unique sites:
Mn (0.0000, 0.0000, 0.0000) [2 per cell]  6 P 2.32-2.33
Cu (0.0000, 0.5000, 0.5000) [2 per cell]  2 P 2.31
P (0.2295, 0.5000, 0.2084) [4 per cell]  1 Cu 2.31, 3 Mn 2.32-2.33, 2 P 2.51

Summary:
raw total energy	-6.042	eV/atom
E_form	-0.02	eV/atom
N(E_F)	4.879	states/eV/cell
calculated volume	12.47	Å³ per atom

---

VASP calculation (GGA-PBE) on an optimized crystal structure of TlCSe2Br.

a = 5.4393 Å, b = 5.4393 Å, c = 5.4810 Å
α = 90.00°, β = 90.00°, γ = 90.00°
Last column: nearest neighbours and their distance in Å.
Space group P4/mmm (No. 123)
Unique sites:
Tl (0.0000, 0.0000, 0.0000) [1 per cell]  4 Se 2.72, 2 Br 2.74
C (0.5000, 0.5000, 0.5000) [1 per cell]  4 Br 3.85, 8 Se 3.86
Se (0.0000, 0.5000, 0.0000) [2 per cell]  2 Tl 2.72
Br (0.0000, 0.0000, 0.5000) [1 per cell]  2 Tl 2.74

Summary:
energy above the most stable polymorph in this dataset	1206	meV per atom
formation energy (no corrections)	1.932	eV per atom
raw total energy	-2.115	eV/atom
N(E_F)	8.359	states/eV/cell
calculated volume	32.43	Å³ per atom

---

VASP calculation (GGA-PBE) on an optimized crystal structure of CeTl2AgS4.

a = 6.9833 Å, b = 4.0013 Å, c = 7.9127 Å
α = 90.00°, β = 111.33°, γ = 90.00°
Last column: nearest neighbours and their distance in Å.
Space group P2/m (No. 10)
Unique sites:
Ce (0.0000, 0.0000, 0.0000) [1 per cell]  6 S 2.70-2.84
Tl (0.0000, 0.5000, 0.5000) [1 per cell]  6 S 3.07-3.24
Tl (0.5000, 0.0000, 0.5000) [1 per cell]  6 S 3.13-3.36
Ag (0.5000, 0.5000, 0.0000) [1 per cell]  4 S 2.62
S (0.2099, 0.5000, 0.2192) [2 per cell]  2 Ce 2.70
S (0.2800, 0.0000, 0.8143) [2 per cell]  2 Ag 2.62, 1 Ce 2.84

Summary:
formation energy (no corrections)	-0.760	eV per atom
raw total energy	-4.514	eV/atom
N(E_F)	2.509	states/eV/cell
calculated volume	25.74	Å³ per atom

---

VASP calculation (GGA-PBE) on an optimized crystal structure of Nd2Er6Zr.

a = 3.3766 Å, b = 9.7101 Å, c = 17.3434 Å
α = 90.00°, β = 90.00°, γ = 90.00°
Last column: nearest neighbours and their distance in Å.
Space group Immm (No. 71)
Unique sites:
Nd (0.0000, 0.0000, 0.1639) [4 per cell]  2 Nd 3.38, 8 Er 3.46-3.55
Er (0.0000, 0.1789, 0.3367) [8 per cell]  1 Zr 3.32, 7 Er 3.38-3.72, 3 Nd 3.46-3.55
Er (0.0000, 0.2065, 0.0000) [4 per cell]  2 Zr 3.31, 6 Er 3.38-3.48, 2 Nd 3.48
Zr (0.0000, 0.0000, 0.5000) [2 per cell]  8 Er 3.31-3.32, 2 Zr 3.38

Summary:
raw total energy	-4.832	eV/atom
E_form	0.22	eV/atom
N(E_F)	37.032	states/eV/cell
calculated volume	31.59	Å³ per atom